No. 1
First-principles (PBE) data for a relaxed structure of Pr5TlSn2, as listed in Alexandria via LeMat-Bulk.

a b c (Å): 8.4063 8.4063 9.4498
angles (deg): 116.41 116.41 90.00
Sites, in units of the cell vectors:
Pr 0.5206 0.6829 0.7035
Pr 0.8171 0.9794 0.2965
Pr 0.0000 0.0000 0.0000
Pr 0.5000 0.5000 0.0000
Pr 0.1829 0.0206 0.7035
Pr 0.6829 0.1829 0.7035
Pr 0.0206 0.5206 0.7035
Pr 0.3171 0.8171 0.2965
Pr 0.9794 0.4794 0.2965
Pr 0.4794 0.3171 0.2965
Tl 0.7500 0.7500 0.5000
Tl 0.2500 0.2500 0.5000
Sn 0.1307 0.3693 0.0000
Sn 0.6307 0.1307 0.0000
Sn 0.3693 0.8693 0.0000
Sn 0.8693 0.6307 0.0000

Results
As for the calculated total energy: -4.814 eV per atom. For the formation energy, the calculation gives -0.531 eV/atom. The symmetry is I4/mcm, No. 140. The value obtained for the density of states at the Fermi level is 1.071 states/eV per atom.

No. 2
First-principles (PBE) data for a relaxed structure of RbPdI, as listed in Alexandria via LeMat-Bulk.

a b c (Å): 4.9177 5.2162 9.5915
angles (deg): 105.86 90.00 90.00
Sites, in units of the cell vectors:
I 0.9390 0.8493 0.3914
I 0.9387 0.5650 0.8307
Pd 0.9389 0.7091 0.1140
Pd 0.4390 0.7907 0.2755
Rb 0.4385 0.1622 0.0205
Rb 0.4390 0.4168 0.5261

Results
As for the calculated total energy: -3.214 eV per atom. The symmetry is Pm, No. 6. The value obtained for the density of states at the Fermi level is 0.000 states/eV per atom. Its formation energy from raw total energies is -0.644 eV per atom.

No. 3
First-principles (PBE) data for a relaxed structure of Fe2SeBr, as listed in Alexandria via LeMat-Bulk.

a b c (Å): 4.9536 4.9536 4.9536
angles (deg): 131.89 105.81 93.43
Site moments in Bohr magnetons follow the coordinates.
Sites, in units of the cell vectors:
Br 0.2500 0.7500 0.5000  0.15
Fe 0.9421 0.9421 0.0000  3.12
Fe 0.5579 0.5579 0.0000  3.12
Se 0.7500 0.2500 0.5000  0.20

Results
As for the calculated total energy: -5.123 eV per atom. The symmetry is Immm, No. 71. The value obtained for the density of states at the Fermi level is 0.835 states/eV per atom. Its formation energy from raw total energies is 0.398 eV per atom.

No. 4
First-principles (PBE) data for a relaxed structure of CsCd2In2Cl7, as listed in Alexandria via LeMat-Bulk.

a b c (Å): 5.3478 5.3478 13.6774
angles (deg): 80.66 80.66 89.29
Sites, in units of the cell vectors:
Cs 0.0000 0.0000 0.0000
Cd 0.5919 0.5919 0.7990
Cd 0.4081 0.4081 0.2010
In 0.7654 0.7654 0.3658
In 0.2346 0.2346 0.6342
Cl 0.5000 0.5000 0.0000
Cl 0.3646 0.3646 0.3939
Cl 0.6354 0.6354 0.6061
Cl 0.9184 0.4279 0.1961
Cl 0.4279 0.9184 0.1961
Cl 0.5721 0.0816 0.8039
Cl 0.0816 0.5721 0.8039

Results
As for the calculated total energy: -2.903 eV per atom. The symmetry is C2/m, No. 12. The value obtained for the density of states at the Fermi level is 0.000 states/eV per atom. Its formation energy from raw total energies is -1.146 eV per atom.

No. 5
First-principles (PBE) data for a relaxed structure of Ac3La5Ho2, as listed in Alexandria via LeMat-Bulk.

a b c (Å): 10.0902 10.1023 11.4886
angles (deg): 125.74 125.71 70.80
Sites, in units of the cell vectors:
Ac 0.2776 0.0276 0.0551
Ac 0.7224 0.9724 0.9449
Ac 0.6341 0.3746 0.2583
Ac 0.3659 0.6254 0.7417
Ac 0.1242 0.8837 0.2583
Ac 0.8758 0.1163 0.7417
La 0.2268 0.4768 0.9536
La 0.7732 0.5232 0.0464
La 0.9660 0.7160 0.4319
La 0.4811 0.2311 0.4621
La 0.0340 0.2840 0.5681
La 0.5189 0.7689 0.5379
La 0.7816 0.5260 0.7496
La 0.2184 0.4740 0.2504
La 0.4680 0.2236 0.7496
La 0.5320 0.7764 0.2504
Ho 0.9680 0.7160 0.7340
Ho 0.0320 0.2840 0.2660
Ho 0.2660 0.0180 0.7340
Ho 0.7340 0.9820 0.2660

Results
As for the calculated total energy: -4.462 eV per atom. For the formation energy, the calculation gives 0.150 eV/atom. The symmetry is C2/c, No. 15. The value obtained for the density of states at the Fermi level is 1.763 states/eV per atom.

No. 6
First-principles (PBE) data for a relaxed structure of La2HoS2O2, as listed in Alexandria via LeMat-Bulk.

a b c (Å): 4.3107 4.3107 8.1773
angles (deg): 105.28 105.28 90.00
Sites, in units of the cell vectors:
La 0.3668 0.3668 0.7335
La 0.6332 0.6332 0.2665
Ho 0.0000 0.0000 0.0000
S 0.1775 0.1775 0.3551
S 0.8225 0.8225 0.6449
O 0.0000 0.5000 0.0000
O 0.5000 0.0000 0.0000

Results
As for the calculated total energy: -7.275 eV per atom. The symmetry is I4/mmm, No. 139. The value obtained for the density of states at the Fermi level is 0.535 states/eV per atom. Its formation energy from raw total energies is -2.617 eV per atom.

No. 7
First-principles (PBE) data for a relaxed structure of Cs4TlHg12Pt3, as listed in Alexandria via LeMat-Bulk.

a b c (Å): 9.6220 9.6220 9.6220
angles (deg): 109.47 109.47 109.47
Sites, in units of the cell vectors:
Cs 0.5000 0.5000 0.5000
Cs 0.0000 0.0000 0.5000
Cs 0.5000 0.0000 0.0000
Cs 0.0000 0.5000 0.0000
Tl 0.0000 0.0000 0.0000
Hg 0.2500 0.5000 0.7500
Hg 0.7383 0.0000 0.7383
Hg 0.2617 0.0000 0.2617
Hg 0.7500 0.5000 0.2500
Hg 0.7383 0.7383 0.0000
Hg 0.2617 0.2617 0.0000
Hg 0.7500 0.2500 0.5000
Hg 0.2500 0.7500 0.5000
Hg 0.5000 0.2500 0.7500
Hg 0.0000 0.7383 0.7383
Hg 0.5000 0.7500 0.2500
Hg 0.0000 0.2617 0.2617
Pt 0.5000 0.0000 0.5000
Pt 0.5000 0.5000 0.0000
Pt 0.0000 0.5000 0.5000

Results
As for the calculated total energy: -1.607 eV per atom. For the formation energy, the calculation gives -0.231 eV/atom. The symmetry is Im-3m, No. 229. The value obtained for the density of states at the Fermi level is 0.239 states/eV per atom.

No. 8
First-principles (PBE) data for a relaxed structure of KTi3Cr, as listed in Alexandria via LeMat-Bulk.

a b c (Å): 4.7757 4.7757 4.7757
angles (deg): 90.00 90.00 90.00
Site moments in Bohr magnetons follow the coordinates.
Sites, in units of the cell vectors:
Cr 0.0000 0.0000 0.0000  -0.39
K 0.5000 0.5000 0.5000  0.01
Ti 0.0000 0.5000 0.0000  0.33
Ti 0.0000 0.0000 0.5000  0.26
Ti 0.5000 0.0000 0.0000  0.47

Results
As for the calculated total energy: -5.995 eV per atom. For the formation energy, the calculation gives 0.886 eV/atom. The symmetry is Pm-3m, No. 221. The value obtained for the density of states at the Fermi level is 1.596 states/eV per atom.

No. 9
First-principles (PBE) data for a relaxed structure of La3Sm6Sc2, as listed in Alexandria via LeMat-Bulk.

a b c (Å): 5.8046 6.7159 11.8913
angles (deg): 77.83 60.81 64.40
Sites, in units of the cell vectors:
La 0.0000 0.0000 0.0000
La 0.2916 0.4168 0.0000
La 0.7084 0.5832 0.0000
Sm 0.4697 0.7005 0.6806
Sm 0.7149 0.0000 0.7857
Sm 0.1702 0.2995 0.6806
Sm 0.2851 0.0000 0.2143
Sm 0.5303 0.2995 0.3194
Sm 0.8298 0.7005 0.3194
Sc 0.1272 0.7457 0.5000
Sc 0.8728 0.2543 0.5000

Results
As for the calculated total energy: -4.933 eV per atom. For the formation energy, the calculation gives 0.136 eV/atom. The symmetry is Cmmm, No. 65. The value obtained for the density of states at the Fermi level is 1.639 states/eV per atom.

No. 10
First-principles (PBE) data for a relaxed structure of Dy2TmTh, as listed in Alexandria via LeMat-Bulk.

a b c (Å): 7.0394 6.1691 7.0592
angles (deg): 106.92 119.91 90.00
Sites, in units of the cell vectors:
Dy 0.1227 0.7480 0.4945
Dy 0.8773 0.2520 0.5055
Dy 0.3718 0.2480 0.4945
Dy 0.6282 0.7520 0.5055
Tm 0.3727 0.2500 0.0000
Tm 0.6273 0.7500 0.0000
Th 0.1210 0.7500 0.0000
Th 0.8790 0.2500 0.0000

Results
As for the calculated total energy: -5.247 eV per atom. For the formation energy, the calculation gives 0.027 eV/atom. The symmetry is C2/c, No. 15. The value obtained for the density of states at the Fermi level is 1.336 states/eV per atom.

No. 11
First-principles (PBE) data for a relaxed structure of SrLu2Ru, as listed in Alexandria via LeMat-Bulk.

a b c (Å): 3.4178 3.4178 9.6577
angles (deg): 90.00 90.00 90.00
Sites, in units of the cell vectors:
Ru 0.5000 0.5000 0.0000
Lu 0.0000 0.0000 0.8363
Lu 0.0000 0.0000 0.1637
Sr 0.5000 0.5000 0.5000

Results
As for the calculated total energy: -5.231 eV per atom. For the formation energy, the calculation gives -0.231 eV/atom. The symmetry is P4/mmm, No. 123. The value obtained for the density of states at the Fermi level is 0.616 states/eV per atom.

No. 12
First-principles (PBE) data for a relaxed structure of LiAgGePb, as listed in Alexandria via LeMat-Bulk.

a b c (Å): 4.8921 4.8921 4.8921
angles (deg): 60.00 60.00 60.00
Sites, in units of the cell vectors:
Pb 0.7500 0.7500 0.7500
Ge 0.2500 0.2500 0.2500
Ag 0.5000 0.5000 0.5000
Li 0.0000 0.0000 0.0000

Results
As for the calculated total energy: -3.273 eV per atom. For the formation energy, the calculation gives -0.001 eV/atom. The symmetry is F-43m, No. 216. The value obtained for the density of states at the Fermi level is 0.776 states/eV per atom.

> The highest calculated total energy belongs to which entry?

Cs4TlHg12Pt3

> Which formula does entry 2 have?

RbPdI